1.
# InAg2P

A relaxed InAg2P crystal (PBE, Alexandria).

Cell: 3.0368 3.0368 8.2651 Å, 90.00 90.00 91.64°
Fractional positions:
In (0.5000, 0.5000, 0.2500)
Ag (0.0000, 0.0000, 0.9728)
Ag (0.0000, 0.0000, 0.5272)
P (0.5000, 0.5000, 0.7500)

Values from the calculation:
spin magnetization: 0.0 μB/cell
space group: Cmmm
energy relative to the elements: 0.2545 eV/atom
energy: -3.21 eV per atom

=====

2.
# Tm5AgS4

A relaxed Tm5AgS4 crystal (PBE, Alexandria).

Cell: 3.8312 6.8363 8.7626 Å, 75.99 77.37 73.73°
Fractional positions:
S (0.2014, 0.3905, 0.2068)
Ag (0.0000, 0.0000, 0.0000)
S (0.7986, 0.6095, 0.7932)
Tm (0.3926, 0.3221, 0.8928)
Tm (0.6074, 0.6779, 0.1072)
Tm (0.2026, 0.9025, 0.6923)
S (0.5998, 0.2047, 0.5958)
S (0.4002, 0.7953, 0.4042)
Tm (0.0000, 0.5000, 0.5000)
Tm (0.7974, 0.0975, 0.3077)

Values from the calculation:
spin magnetization: 0.0 μB/cell
space group: C2/m
energy: -5.73 eV per atom

=====

Copy entry 2 word for word.
# Tm5AgS4

A relaxed Tm5AgS4 crystal (PBE, Alexandria).

Cell: 3.8312 6.8363 8.7626 Å, 75.99 77.37 73.73°
Fractional positions:
S (0.2014, 0.3905, 0.2068)
Ag (0.0000, 0.0000, 0.0000)
S (0.7986, 0.6095, 0.7932)
Tm (0.3926, 0.3221, 0.8928)
Tm (0.6074, 0.6779, 0.1072)
Tm (0.2026, 0.9025, 0.6923)
S (0.5998, 0.2047, 0.5958)
S (0.4002, 0.7953, 0.4042)
Tm (0.0000, 0.5000, 0.5000)
Tm (0.7974, 0.0975, 0.3077)

Values from the calculation:
spin magnetization: 0.0 μB/cell
space group: C2/m
energy: -5.73 eV per atom

=====

Please write out number 2 again, unchanged.
# Tm5AgS4

A relaxed Tm5AgS4 crystal (PBE, Alexandria).

Cell: 3.8312 6.8363 8.7626 Å, 75.99 77.37 73.73°
Fractional positions:
S (0.2014, 0.3905, 0.2068)
Ag (0.0000, 0.0000, 0.0000)
S (0.7986, 0.6095, 0.7932)
Tm (0.3926, 0.3221, 0.8928)
Tm (0.6074, 0.6779, 0.1072)
Tm (0.2026, 0.9025, 0.6923)
S (0.5998, 0.2047, 0.5958)
S (0.4002, 0.7953, 0.4042)
Tm (0.0000, 0.5000, 0.5000)
Tm (0.7974, 0.0975, 0.3077)

Values from the calculation:
spin magnetization: 0.0 μB/cell
space group: C2/m
energy: -5.73 eV per atom

=====

What is the spin magnetization in the second record?
0.0 μB/cell